Computed, not measured: a relaxed TiMnO crystal at the PBE+U level of DFT.

```
6
Lattice="3.062 0.000 0.000 -1.531 2.652 0.000 0.000 0.000 11.109" Properties=species:S:1:pos:R:3 pbc="T T T"
Ti 0.000 0.000 2.397
Ti 0.000 0.000 8.712
Mn 0.000 1.768 5.555
Mn 1.531 0.884 0.000
O 0.000 1.768 3.319
O 0.000 1.768 7.791
```

Results
As for the crystal system: hexagonal. For the volume, the calculation gives 90.20 Å³ per cell. The value obtained for the total energy is -47.830 eV per cell.